Entry 1:
The following is a DFT calculation (PBE-GGA) of a geometry-optimized PaCrSn2 structure.

## Properties
ΔE_f ... 0.0638 eV/atom
Space-group type ... R-3m, No. 166
Total magnetic moment ... 2.3 μB/f.u.
Fermi-level density of states ... 3.67 states/eV/f.u.

```
PaCrSn2
1.0
-0.2132 -1.6696 4.2834
-2.6384 -3.6581 0.9152
2.9785 -4.8617 0.7256
Sn Pa Cr
2 1 1
Cartesian
-0.1610 -7.4409 4.5088
0.2879 -2.7485 1.4154
0.0000 0.0000 0.0000
0.0634 -5.0947 2.9621
```

---

Entry 2:
The following is a DFT calculation (PBE-GGA) of a geometry-optimized AcNdMg4 structure.

## Properties
ΔE_f ... -0.1130 eV/atom
Space-group type ... F-43m, No. 216
Total magnetic moment ... 0.0 μB/f.u.
Fermi-level density of states ... 4.70 states/eV/f.u.

```
AcNdMg4
1.0
-6.1637 -0.9959 0.1534
-2.2237 -5.5365 1.8464
-2.9452 -0.5110 5.4837
Mg Nd Ac
4 1 1
Cartesian
-3.9903 -3.9066 4.6060
-5.9730 -1.6217 3.7540
-7.0920 -4.4078 4.6832
-5.6099 -4.1506 1.9236
0.0000 0.0000 0.0000
-2.8331 -1.7609 1.8709
```

---

Entry 3:
The following is a DFT calculation (PBE-GGA) of a geometry-optimized CaBe2SiPt4 structure.

## Properties
E_form (uncorrected) ... -0.6546 eV per atom
Space-group type ... R-3m, No. 166
Total magnetic moment ... 0.0 μB/f.u.
Fermi-level density of states ... 3.52 states/eV/f.u.

```
CaBe2SiPt4
1.0
4.0879 0.0000 0.0000
2.0440 3.5403 0.0000
2.0440 1.1801 8.7760
Be Pt Si Ca
2 4 1 1
Cartesian
6.1319 3.5403 6.5581
2.0440 1.1801 2.2179
4.0879 2.3602 6.7901
6.1319 3.5403 3.5546
4.0879 2.3602 1.9859
2.0440 1.1801 5.2215
4.0879 2.3602 4.3880
0.0000 0.0000 0.0000
```

---

Q: What is the total magnetic moment in the first record?
A: 2.3 μB/f.u.

---

Q: The highest Fermi-level density of states belongs to which entry?
A: AcNdMg4

---

Q: Which of these has the highest total magnetic moment?
A: PaCrSn2